[1]
GGA-PBE CsTeSeI2, optimized geometry; size of the total moment = 1.01 μB/atom; formation energy (no corrections) = 591 meV/atom; relative energy among the computed polymorphs = 5.61 eV/f.u.; crystal system = tetragonal; space-group type = P4/mmm (123)
1.0
-5.6781 0.9976 3.9733
-1.0427 -6.9191 0.2471
3.9934 -0.3945 5.8059
Cs I Te Se
1 2 1 1
Direct
0.0000 0.0000 0.0000
0.0000 0.5000 0.0000
0.5000 0.0000 0.0000
0.0000 0.0000 0.5000
0.5000 0.5000 0.5000

[2]
GGA-PBE Sr8Hg2Au, optimized geometry; size of the total moment = 0.00 μB/atom; DFT formation energy = -3.5 eV/f.u.; relative energy among the computed polymorphs = 0.00 eV/f.u.; crystal system = monoclinic; space-group type = C2/m (12)
1.0
7.4142 0.3223 1.5461
1.3317 8.0471 2.7203
0.4653 -0.1511 8.5843
Sr Hg Au
8 2 1
Direct
0.2429 0.6467 0.0575
0.7571 0.9425 0.3533
0.2623 0.1312 0.1312
0.7377 0.8688 0.8688
0.2429 0.0575 0.6467
0.7571 0.3533 0.9425
0.7860 0.4205 0.4205
0.2140 0.5795 0.5795
0.4442 0.3203 0.3203
0.5558 0.6797 0.6797
0.0000 0.0000 0.0000

[3]
GGA-PBE Zn2CuP, optimized geometry; size of the total moment = 0.00 μB/atom; DFT formation energy = 0.6 eV/f.u.; crystal system = tetragonal; space-group type = I4/mmm (139)
1.0
4.7624 -0.1766 -0.4425
2.0045 4.3236 0.4425
-3.1509 -2.4530 2.6386
Cu P Zn
1 1 2
Direct
0.7500 0.2500 0.5000
0.2500 0.7500 0.5000
0.0001 0.0001 0.0000
0.4999 0.4999 0.0000

[4]
GGA-PBE LiSe, optimized geometry; size of the total moment = 0.00 μB/atom; formation energy (no corrections) = -267 meV/atom; relative energy among the computed polymorphs = 1.28 eV/f.u.; crystal system = trigonal; space-group type = P-3m1 (164)
1.0
3.0516 0.0000 0.0000
-1.5258 2.6427 0.0000
0.0000 0.0000 10.7883
Li Se
2 2
Direct
0.0000 0.0000 0.9922
0.6667 0.3333 0.2578
0.0000 0.0000 0.4299
0.6667 0.3333 0.8201

[5]
GGA-PBE Ac4TlInPb2, optimized geometry; size of the total moment = 0.00 μB/atom; DFT formation energy = -3.4 eV/f.u.; crystal system = trigonal; space-group type = R-3m (166)
1.0
5.8506 0.0000 0.0000
2.9253 5.0667 0.0000
2.9253 1.6889 9.5861
Ac Tl In Pb
4 1 1 2
Direct
0.3761 0.3761 0.8718
0.8738 0.8738 0.3787
0.1262 0.1262 0.6213
0.6239 0.6239 0.1282
0.0000 0.0000 0.0000
0.5000 0.5000 0.5000
0.7490 0.7490 0.7531
0.2510 0.2510 0.2469

[6]
GGA-PBE CaCe2NdP4, optimized geometry; size of the total moment = 0.10 μB/atom; DFT formation energy = -11.3 eV/f.u.; crystal system = monoclinic; space-group type = P2/m (10)
1.0
4.1325 0.0000 0.0000
0.0000 7.1210 -0.1289
0.0000 2.5162 6.6988
Ca Ce Nd P
1 2 1 4
Direct
0.5000 0.5000 0.0000
0.0000 0.0000 0.0000
0.5000 0.0000 0.5000
0.0000 0.5000 0.5000
0.0000 0.7636 0.7436
0.0000 0.2364 0.2564
0.5000 0.7597 0.2484
0.5000 0.2403 0.7516

[7]
GGA-PBE K4CuHg2As2, optimized geometry; size of the total moment = 0.07 μB/atom; DFT formation energy = -2.2 eV/f.u.; crystal system = monoclinic; space-group type = C2/m (12)
1.0
-3.0177 -4.4792 1.8860
6.1514 -3.1137 2.6902
0.7743 2.3176 6.9858
K Cu Hg As
4 1 2 2
Direct
0.1929 0.6333 0.1158
0.8071 0.8842 0.3667
0.8071 0.3667 0.8842
0.1929 0.1158 0.6333
0.5000 0.0000 0.0000
0.3391 0.6354 0.6354
0.6609 0.3646 0.3646
0.3091 0.1691 0.1691
0.6909 0.8309 0.8309

[8]
GGA-PBE KTlCrCl6, optimized geometry; size of the total moment = 0.22 μB/atom; formation energy (no corrections) = -1132 meV/atom; crystal system = trigonal; space-group type = P312 (149)
1.0
-4.8051 0.0015 5.5446
-3.3961 -6.2159 1.9134
4.5445 -1.2703 3.9386
K Tl Cr Cl
1 1 1 6
Direct
0.6666 0.6667 0.5000
0.0000 0.0000 0.0000
0.3333 0.3333 0.5000
0.0776 0.3318 0.2804
0.3317 0.0777 0.7196
0.5905 0.3318 0.7196
0.0777 0.5905 0.7196
0.3318 0.5906 0.2804
0.5905 0.0776 0.2804

[9]
GGA-PBE Li2AlSe, optimized geometry; size of the total moment = 0.00 μB/atom; formation energy (no corrections) = -329 meV/atom; relative energy among the computed polymorphs = 0.80 eV/f.u.; crystal system = cubic; space-group type = Fm-3m (225)
1.0
0.0000 3.3337 3.3337
3.3337 0.0000 3.3337
3.3337 3.3337 0.0000
Al Se Li
1 1 2
Direct
0.0000 0.0000 0.0000
0.5000 0.5000 0.5000
0.2500 0.2500 0.2500
0.7500 0.7500 0.7500

[10]
GGA-PBE LaHfAs2, optimized geometry; size of the total moment = 0.00 μB/atom; DFT formation energy = -4.8 eV/f.u.; relative energy among the computed polymorphs = 0.32 eV/f.u.; crystal system = trigonal; space-group type = R3m (160)
1.0
-3.6344 -1.5143 0.5442
-2.1856 -1.0968 -3.1334
0.8270 -7.3852 -0.5126
La Hf As
1 1 2
Direct
0.4967 0.4967 0.5098
0.6695 0.6695 0.9916
0.0718 0.0718 0.7846
0.2620 0.2620 0.2141

[11]
GGA-PBE HoTm3Pd, optimized geometry; size of the total moment = 0.00 μB/atom; DFT formation energy = -1.4 eV/f.u.; relative energy among the computed polymorphs = 0.05 eV/f.u.; crystal system = monoclinic; space-group type = C2/m (12)
1.0
-4.4398 -0.1831 -5.5054
5.9566 -3.2585 -1.9890
-2.2339 -3.8196 5.9929
Ho Tm Pd
2 6 2
Direct
0.7023 0.0745 0.7768
0.2977 0.9255 0.2232
0.8347 0.0092 0.2424
0.2332 0.4077 0.2424
0.7668 0.5923 0.7576
0.7279 0.4594 0.1874
0.1653 0.9908 0.7576
0.2721 0.5406 0.8126
0.6499 0.7676 0.4176
0.3501 0.2324 0.5824

[12]
GGA-PBE AcCeDy2Sb4, optimized geometry; size of the total moment = 0.10 μB/atom; formation energy (no corrections) = -1110 meV/atom; crystal system = monoclinic; space-group type = P2/m (10)
1.0
4.5283 0.0000 0.0000
0.0000 7.8199 -0.1506
0.0000 2.7570 7.3453
Ac Ce Dy Sb
1 1 2 4
Direct
0.5000 0.5000 0.0000
0.0000 0.5000 0.5000
0.0000 0.0000 0.0000
0.5000 0.0000 0.5000
0.0000 0.7678 0.7361
0.0000 0.2323 0.2639
0.5000 0.7623 0.2534
0.5000 0.2377 0.7466

[13]
GGA-PBE RbDyTe3Pb, optimized geometry; size of the total moment = 0.00 μB/atom; formation energy (no corrections) = -999 meV/atom; crystal system = monoclinic; space-group type = P2_1/m (11)
1.0
-2.4688 -3.4031 -1.6065
7.8875 -5.3815 -0.7216
-4.8093 -1.6910 10.9727
Rb Dy Te Pb
2 2 6 2
Direct
0.2500 0.2134 0.2535
0.7500 0.7866 0.7465
0.2500 0.6332 0.1523
0.7500 0.3668 0.8477
0.7500 0.8747 0.1970
0.2500 0.1253 0.8030
0.2500 0.6373 0.4148
0.7500 0.3627 0.5852
0.7500 0.4013 0.1081
0.2500 0.5987 0.8919
0.2500 0.1427 0.5622
0.7500 0.8573 0.4378

[14]
GGA-PBE LiHfAlNi, optimized geometry; size of the total moment = 0.00 μB/atom; DFT formation energy = -1.9 eV/f.u.; crystal system = cubic; space-group type = F-43m (216)
1.0
-2.5437 2.9729 1.8551
-0.8398 -0.2125 4.2426
1.7042 2.9306 2.6939
Ni Hf Al Li
1 1 1 1
Direct
0.0000 0.0000 0.0000
0.2500 0.2500 0.2500
0.7500 0.7500 0.7500
0.5000 0.5000 0.5000

[15]
GGA-PBE Er2BC3, optimized geometry; size of the total moment = 0.00 μB/atom; DFT formation energy = -1.1 eV/f.u.; crystal system = orthorhombic; space-group type = Fmmm (69)
1.0
5.0813 -0.2251 0.0000
-0.4222 5.0687 0.0000
-2.3295 -2.4218 5.4356
Er B C
4 2 6
Direct
0.2500 0.7500 0.5000
0.7877 0.7877 0.0000
0.7500 0.2500 0.5000
0.2123 0.2123 0.0000
0.6595 0.6595 0.3190
0.3405 0.3405 0.6810
0.3960 0.7368 0.1327
0.2632 0.6040 0.8673
0.6040 0.2632 0.8673
0.7368 0.3960 0.1327
0.2000 0.2000 0.4001
0.8000 0.8000 0.5999

[16]
GGA-PBE SbN, optimized geometry; size of the total moment = 0.02 μB/atom; formation energy (no corrections) = 1422 meV/atom; relative energy among the computed polymorphs = 2.15 eV/f.u.; crystal system = cubic; space-group type = Pm-3m (221)
1.0
-2.1789 2.1238 0.3994
-2.0946 -2.2151 0.3523
0.5321 -0.0225 3.0223
Sb N
1 1
Direct
0.0000 0.0000 0.0000
0.5000 0.5000 0.5000

[17]
GGA-PBE SrTcTe2I, optimized geometry; size of the total moment = 0.59 μB/atom; formation energy (no corrections) = -276 meV/atom; relative energy among the computed polymorphs = 0.00 eV/f.u.; crystal system = tetragonal; space-group type = P4/mmm (123)
1.0
5.4465 0.0000 0.0000
0.0000 5.4465 0.0000
0.0000 0.0000 5.5539
I Sr Te Tc
1 1 2 1
Direct
0.0000 0.0000 0.5000
0.5000 0.5000 0.5000
0.0000 0.5000 0.0000
0.5000 0.0000 0.0000
0.0000 0.0000 0.0000

[18]
GGA-PBE Pa2TaIn, optimized geometry; size of the total moment = 0.00 μB/atom; DFT formation energy = 0.3 eV/f.u.; relative energy among the computed polymorphs = 0.00 eV/f.u.; crystal system = tetragonal; space-group type = P4/mmm (123)
1.0
3.0623 0.0000 0.0000
0.0000 3.0623 0.0000
0.0000 0.0000 9.9256
Pa In Ta
2 1 1
Direct
0.0000 0.0000 0.7656
0.0000 0.0000 0.2344
0.5000 0.5000 0.5000
0.5000 0.5000 0.0000

[19]
GGA-PBE La2AlCo, optimized geometry; size of the total moment = 0.19 μB/atom; DFT formation energy = 0.2 eV/f.u.; relative energy among the computed polymorphs = 1.04 eV/f.u.; crystal system = tetragonal; space-group type = I-4m2 (119)
1.0
-3.2603 4.6404 -0.3627
-5.5389 -1.2243 -0.3407
4.1856 -1.6132 3.4889
Co Al La
1 1 2
Direct
0.7500 0.2500 0.5000
0.5000 0.5000 0.0000
0.0000 0.0000 0.0000
0.2500 0.7500 0.5000

[20]
GGA-PBE PrNd5Ho3, optimized geometry; size of the total moment = 0.00 μB/atom; DFT formation energy = 2.5 eV/f.u.; relative energy among the computed polymorphs = 0.00 eV/f.u.; crystal system = monoclinic; space-group type = C2/c (15)
1.0
6.2501 0.0000 0.0000
-3.1251 9.6720 -4.5772
0.0000 -2.1613 11.4524
Pr Nd Ho
2 10 6
Direct
0.8700 0.0000 0.7500
0.1300 0.0000 0.2500
0.3883 0.0000 0.7500
0.6291 0.6394 0.9767
0.8179 0.2800 0.1287
0.3709 0.3606 0.0233
0.5379 0.7200 0.3713
0.6117 0.0000 0.2500
0.0104 0.6394 0.4767
0.9896 0.3606 0.5233
0.4621 0.2800 0.6287
0.1821 0.7200 0.8713
0.0000 0.0000 0.0000
0.3982 0.3574 0.3246
0.0000 0.0000 0.5000
0.6018 0.6426 0.6754
0.9591 0.3574 0.8246
0.0409 0.6426 0.1754

[21]
GGA-PBE CsIn2Ag2, optimized geometry; size of the total moment = 0.00 μB/atom; DFT formation energy = -0.1 eV/f.u.; relative energy among the computed polymorphs = 0.00 eV/f.u.; crystal system = triclinic; space-group type = P-1 (2)
1.0
-1.9959 2.1512 -6.4943
-4.5978 -4.0968 -4.8128
-6.8774 3.3603 -0.3652
Cs In Ag
2 4 4
Direct
0.8471 0.7485 0.3041
0.1529 0.2515 0.6959
0.6108 0.3818 0.1786
0.8970 0.8786 0.7495
0.1030 0.1214 0.2505
0.3891 0.6182 0.8214
0.5133 0.8003 0.9997
0.6778 0.2990 0.5648
0.4867 0.1997 0.0003
0.3222 0.7010 0.4352

[22]
GGA-PBE In2AsBr, optimized geometry; size of the total moment = 0.00 μB/atom; formation energy (no corrections) = -284 meV/atom; relative energy among the computed polymorphs = 0.00 eV/f.u.; crystal system = monoclinic; space-group type = C2/m (12)
1.0
-4.0904 -0.1203 -1.4315
-1.1468 -3.0518 -2.8577
-2.5751 -4.9602 4.8804
As Br In
1 1 2
Direct
0.7500 0.7500 0.7500
0.2500 0.2500 0.2500
0.0562 0.0562 0.9403
0.4438 0.4438 0.5597

[23]
GGA-PBE TmPuCdGe, optimized geometry; size of the total moment = 1.60 μB/atom; DFT formation energy = -1.2 eV/f.u.; crystal system = cubic; space-group type = F-43m (216)
1.0
-4.4193 1.5570 2.1199
-4.1132 0.8568 -2.9659
-4.0238 -3.1968 0.1979
Cd Ge Tm Pu
1 1 1 1
Direct
0.7500 0.7500 0.7500
0.2500 0.2500 0.2500
0.5000 0.5000 0.5000
0.0000 0.0000 0.0000

[24]
GGA-PBE ScBPd6, optimized geometry; size of the total moment = 0.00 μB/atom; DFT formation energy = -2.8 eV/f.u.; crystal system = trigonal; space-group type = R-3m (166)
1.0
5.0701 -0.6429 -0.1563
-0.2602 5.1040 -0.1563
1.1955 1.1088 4.8485
Sc B Pd
1 1 6
Direct
0.5000 0.5000 0.5000
0.0000 0.0000 0.0000
0.0906 0.7118 0.2883
0.7118 0.0906 0.2883
0.2882 0.9094 0.7117
0.9094 0.2882 0.7117
0.2883 0.2883 0.0901
0.7117 0.7117 0.9099

[25]
GGA-PBE LaReP, optimized geometry; size of the total moment = 0.00 μB/atom; DFT formation energy = -1.4 eV/f.u.; relative energy among the computed polymorphs = 0.07 eV/f.u.; crystal system = orthorhombic; space-group type = Ima2 (46)
1.0
-5.3898 -6.0453 -1.9280
1.6762 -5.3846 -5.7779
1.8070 -7.7601 1.3050
La Re P
6 6 6
Direct
0.2243 0.9748 0.4748
0.6739 0.0252 0.5252
0.6884 0.5147 0.0147
0.2178 0.4853 0.9853
0.8483 0.2475 0.7475
0.8433 0.7525 0.2525
0.4984 0.5000 0.5000
0.4984 0.0000 0.0000
0.3029 0.9253 0.8490
0.0772 0.0747 0.1510
0.0772 0.6510 0.5747
0.3029 0.3490 0.4253
0.3081 0.7259 0.2259
0.2598 0.2741 0.7741
0.5339 0.6642 0.6695
0.8675 0.3358 0.3305
0.8675 0.8305 0.8358
0.5339 0.1695 0.1642